The following is a GGA-PBE calculation of YAgHg2Pb after structural relaxation, from Alexandria via LeMat-Bulk.

a = 5.607 Å, b = 5.988 Å, c = 5.607 Å
α = 90.00°, β = 90.00°, γ = 90.00°
Element x y z (fractional)
Pb 0.000 0.000 0.000
Y 0.000 0.500 0.000
Hg 0.000 0.000 0.500
Hg 0.500 0.000 0.000
Ag 0.500 0.500 0.500

Total moment, Bohr magnetons per cell: 0.00
Calculated formation energy, eV per atom: 0.549
DOS at the Fermi energy, states/eV per atom: 0.678



The following is a GGA-PBE calculation of Mg3AgMo after structural relaxation, from Alexandria via LeMat-Bulk.

a = 5.222 Å, b = 5.222 Å, c = 5.222 Å
α = 90.00°, β = 90.00°, γ = 90.00°
Element x y z (fractional)
Mo 0.000 0.000 0.000
Mg 0.000 0.500 0.000
Mg 0.000 0.000 0.500
Mg 0.500 0.000 0.000
Ag 0.500 0.500 0.500

Total moment, Bohr magnetons per cell: 2.54
Polymorph energy (0 for the lowest one), eV/atom: 0.270
Calculated formation energy, eV per atom: 1.146
DOS at the Fermi energy, states/eV per atom: 1.034



The following is a GGA-PBE calculation of DyMgCdCu after structural relaxation, from Alexandria via LeMat-Bulk.

a = 4.906 Å, b = 4.906 Å, c = 4.906 Å
α = 60.00°, β = 60.00°, γ = 60.00°
Element x y z (fractional)
Mg 0.000 0.000 0.000
Cd 0.750 0.750 0.750
Cu 0.250 0.250 0.250
Dy 0.500 0.500 0.500

Total moment, Bohr magnetons per cell: 0.00
Calculated formation energy, eV per atom: -0.224
DOS at the Fermi energy, states/eV per atom: 0.422



- Which value of total moment does entry 3 give?
  0.00 Bohr magnetons per cell



- Number 2 is which compound?
  Mg3AgMo